DFT (PBE-GGA) results for an optimized crystal structure of Cd2SiRh. Values from VASP.

The structure in Quantum ESPRESSO input format:
```
&SYSTEM
  ibrav = 0, nat = 8, ntyp = 3
/
ATOMIC_SPECIES
Si 28.09 Si.upf
Rh 102.91 Rh.upf
Cd 112.41 Cd.upf
ATOMIC_POSITIONS crystal
Si 0.250 0.750 0.500
Rh 0.000 0.000 0.000
Si 0.500 0.500 0.000
Cd 0.375 0.378 0.750
Cd 0.622 0.125 0.250
Rh 0.750 0.250 0.500
Cd 0.875 0.872 0.750
Cd 0.128 0.625 0.250
CELL_PARAMETERS angstrom
-3.777 6.541 -1.221
-6.017 -2.758 3.839
-3.927 2.867 3.531
```

Output
For the calculated density, the calculation gives 7.72 g cm⁻³. For the density of states at the Fermi level, the calculation gives 0.687 states/eV per atom. The value obtained for the raw total energy is -3.3321 eV/atom.